# MgCuBiPd, relaxed, DFT PBE
data_MgCuBiPd
_chemical_formula_sum 'Mg4 Cu4 Bi4 Pd4'
_space_group_name_H-M_alt 'F -4 3 m'
_space_group_IT_number 216
_space_group_name_Hall 'F -4 2 3'
_cell_length_a 6.693
_cell_length_b 6.693
_cell_length_c 6.693
_cell_angle_alpha 90.00
_cell_angle_beta 90.00
_cell_angle_gamma 90.00
loop_
_atom_site_label
_atom_site_fract_x
_atom_site_fract_y
_atom_site_fract_z
Mg1 0.000 0.000 0.000
Cu1 0.250 0.250 0.750
Bi1 0.000 0.000 0.500
Pd1 0.250 0.250 0.250
# - density of states at the Fermi level (states/eV/f.u.) = 2.12

# CdPdAu4, relaxed, DFT PBE
data_CdPdAu4
_chemical_formula_sum 'Cd4 Pd4 Au16'
_space_group_name_H-M_alt 'F -4 3 m'
_space_group_IT_number 216
_space_group_name_Hall 'F -4 2 3'
_cell_length_a 7.739
_cell_length_b 7.739
_cell_length_c 7.739
_cell_angle_alpha 90.00
_cell_angle_beta 90.00
_cell_angle_gamma 90.00
loop_
_atom_site_label
_atom_site_fract_x
_atom_site_fract_y
_atom_site_fract_z
Cd1 0.000 0.000 0.000
Pd1 0.250 0.250 0.250
Au1 0.125 0.125 0.625
# - density of states at the Fermi level (states/eV/f.u.) = 0.38
# - polymorph energy (0 for the lowest one) (kJ per mole of atoms) = 9.2

# La6SnRh2, relaxed, DFT PBE
data_La6SnRh2
_chemical_formula_sum 'La12 Sn2 Rh4'
_space_group_name_H-M_alt 'C 1 2/m 1'
_space_group_IT_number 12
_cell_length_a 11.230
_cell_length_b 5.059
_cell_length_c 9.352
_cell_angle_alpha 90.00
_cell_angle_beta 94.29
_cell_angle_gamma 90.00
loop_
_space_group_symop_operation_xyz
'x,y,z'
'-x,-y,-z'
'-x,y,-z'
'x,-y,z'
'x+1/2,y+1/2,z'
'-x+1/2,-y+1/2,-z'
'-x+1/2,y+1/2,-z'
'x+1/2,-y+1/2,z'
loop_
_atom_site_label
_atom_site_fract_x
_atom_site_fract_y
_atom_site_fract_z
La1 0.089 0.000 0.359
La2 0.103 0.500 0.673
La3 0.197 0.500 0.107
Sn1 0.000 0.000 0.000
Rh1 0.244 0.500 0.386
# - density of states at the Fermi level (states/eV/f.u.) = 7.86

# TiTl2O2F2, relaxed, DFT PBE
data_TiTl2O2F2
_chemical_formula_sum 'Ti2 Tl4 O4 F4'
_space_group_name_H-M_alt 'C 1 2/m 1'
_space_group_IT_number 12
_cell_length_a 12.905
_cell_length_b 3.294
_cell_length_c 7.012
_cell_angle_alpha 90.00
_cell_angle_beta 114.92
_cell_angle_gamma 90.00
loop_
_space_group_symop_operation_xyz
'x,y,z'
'-x,-y,-z'
'-x,y,-z'
'x,-y,z'
'x+1/2,y+1/2,z'
'-x+1/2,-y+1/2,-z'
'-x+1/2,y+1/2,-z'
'x+1/2,-y+1/2,z'
loop_
_atom_site_label
_atom_site_fract_x
_atom_site_fract_y
_atom_site_fract_z
Ti1 0.000 0.000 0.000
Tl1 0.203 0.000 0.728
O1 0.149 0.000 0.038
F1 0.033 0.500 0.197
# - density of states at the Fermi level (states/eV/f.u.) = 0.00
# - formation energy from raw total energies (eV per atom) = -2.094

# Th2Co9Ni, relaxed, DFT PBE
data_Th2Co9Ni
_chemical_formula_sum 'Th6 Co27 Ni3'
_space_group_name_H-M_alt 'R -3 m'
_space_group_IT_number 166
_space_group_name_Hall '-R 3 2"'
_cell_length_a 4.8921
_cell_length_b 4.8921
_cell_length_c 24.7335
_cell_angle_alpha 90.00
_cell_angle_beta 90.00
_cell_angle_gamma 120.00
loop_
_atom_site_label
_atom_site_fract_x
_atom_site_fract_y
_atom_site_fract_z
Th1 0.0000 0.0000 0.1326
Co1 0.0000 0.0000 0.3336
Co2 0.0000 0.0000 0.5000
Co3 0.0011 0.5005 0.0778
Ni1 0.0000 0.0000 0.0000
# - density of states at the Fermi level (states/eV/f.u.) = 21.42

Number 1: VASP energy -3.8545 eV/atom. Number 2: VASP energy -3.2036 eV/atom. Number 3: VASP energy -5.8989 eV/atom. Number 4: VASP energy -5.8489 eV/atom. Number 5: VASP energy -6.9745 eV/atom.